# Tb9Pm2Y PBE-GGA relaxed
# electronic total energy: -4.78 eV/atom
# energy relative to the elements: 0.019 eV/atom
# theoretical density: 7730 kg/m³
data_Tb9Pm2Y
_cell_length_a 5.061
_cell_length_b 5.061
_cell_length_c 15.174
_cell_angle_alpha 90.00
_cell_angle_beta 90.00
_cell_angle_gamma 90.00
_space_group_name_H-M_alt 'P 4/m m m'
_space_group_IT_number 123
_space_group_name_Hall '-P 4 2'
loop_
_atom_site_label
_atom_site_fract_x
_atom_site_fract_y
_atom_site_fract_z
_atom_site_occupancy
Tb1 0.000 0.000 0.000 1
Tb2 0.000 0.000 0.333 1
Tb3 0.000 0.500 0.166 1
Tb4 0.000 0.500 0.500 1
Pm1 0.500 0.500 0.333 1
Y1 0.500 0.500 0.000 1